A plane-wave DFT calculation with PBE+U was carried out for a relaxed structure of AcTlWO5.

a b c (Å): 8.2838 11.1133 8.7859
angles (deg): 90.00 116.92 90.00
Closest atoms and distances in Å follow each position.
Space group C2/c (No. 15)
Symmetry-distinct sites (fractional):
Ac 0.0000 0.0000 0.0000 x4  6 O 2.39-2.61
Tl 0.0000 0.2932 0.2500 x4  1 O 2.32
W 0.0000 0.3109 0.7500 x4  4 O 1.81-1.83
O 0.0000 0.0846 0.2500 x4  1 Tl 2.32, 2 Ac 2.39
O 0.0835 0.2148 0.6319 x8  1 W 1.83
O 0.1823 0.4050 0.8972 x8  1 W 1.81

Results
Calculated volume in Å³/cell: 721
Uncorrected energy in eV/atom: -7.029